The following is a DFT calculation (PBE-GGA) of crystalline MnOsRu2 at its relaxed geometry.

The calculation puts the formation energy at 431 meV/atom. Its density of states at the Fermi level is 12.45 states/eV/cell. Its polymorph energy (0 for the lowest one) is 353 meV/atom.

The structure belongs to space group Cmm2 (No. 35); the cell edges are 2.787, 4.540 and 8.938 Å and the angles 90.00°, 90.00° and 90.00°. Symmetry generates all atoms from Mn at (0.000, 0.000, 0.000), Os at (0.000, 0.500, 0.758), Ru at (0.000, 0.000, 0.498) and Ru at (0.000, 0.500, 0.240).

The following is a DFT calculation (PBE-GGA) of crystalline CaFeMo2 at its relaxed geometry.

The calculation puts the formation energy at 779 meV/atom. Its density of states at the Fermi level is 4.61 states/eV/cell. Its polymorph energy (0 for the lowest one) is 260 meV/atom.

The structure belongs to space group Pmmm (No. 47); the cell edges are 2.628, 4.833 and 5.415 Å and the angles 90.00°, 90.00° and 90.00°. Symmetry generates all atoms from Ca at (0.000, 0.000, 0.000), Fe at (0.000, 0.000, 0.500) and Mo at (0.500, 0.500, 0.262).

The following is a DFT calculation (PBE-GGA) of crystalline CaY2S3 at its relaxed geometry.

Its density of states at the Fermi level is 4.07 states/eV/cell. The formation energy from raw total energies is -12.23 eV/f.u.

The structure belongs to space group Immm (No. 71); the cell edges are 3.927, 5.570 and 11.906 Å and the angles 90.00°, 90.00° and 90.00°. Symmetry generates all atoms from Ca at (0.000, 0.000, 0.000), Y at (0.000, 0.000, 0.335), S at (0.000, 0.500, 0.000) and S at (0.000, 0.500, 0.332).

The following is a DFT calculation (PBE-GGA) of crystalline Tb2CoNi4P3 at its relaxed geometry.

The calculation puts the formation energy at -849 meV/atom. Its density of states at the Fermi level is 9.07 states/eV/cell.

The structure belongs to space group P-4m2 (No. 115); the cell edges are 3.910, 3.910 and 9.356 Å and the angles 90.00°, 90.00° and 90.00°. Symmetry generates all atoms from Tb at (0.000, 0.500, 0.248), Co at (0.000, 0.000, 0.500), Ni at (0.000, 0.000, 0.000), Ni at (0.000, 0.500, 0.628), Ni at (0.500, 0.500, 0.000), P at (0.000, 0.500, 0.868) and P at (0.500, 0.500, 0.500).

The following is a DFT calculation (PBE-GGA) of crystalline TcTe2P at its relaxed geometry.

Its density of states at the Fermi level is 8.98 states/eV/cell. The formation energy from raw total energies is 0.22 eV/f.u.

The structure belongs to space group R3m (No. 160, hexagonal axes); the cell edges are 3.2528, 3.2528 and 29.7526 Å and the angles 90.00°, 90.00° and 120.00°. Symmetry generates all atoms from Tc at (0.0000, 0.0000, 0.0000), Te at (0.0000, 0.0000, 0.2626), Te at (0.0000, 0.0000, 0.4678) and P at (0.0000, 0.0000, 0.7146).

The following is a DFT calculation (PBE-GGA) of crystalline Pm3AlGe5 at its relaxed geometry.

The calculation puts the formation energy at -475 meV/atom. Its density of states at the Fermi level is 10.59 states/eV/cell.

The structure belongs to space group P6_3/mcm (No. 193); the cell edges are 8.7872, 8.7872 and 5.9768 Å and the angles 90.00°, 90.00° and 120.00°. Symmetry generates all atoms from Pm at (0.0000, 0.3808, 0.2500), Al at (0.0000, 0.0000, 0.0000), Ge at (0.0000, 0.2659, 0.7500) and Ge at (0.3333, 0.6667, 0.0000).

The following is a DFT calculation (PBE-GGA) of crystalline TiCdRuPt at its relaxed geometry.

The calculation puts the formation energy at -398 meV/atom. Its density of states at the Fermi level is 2.72 states/eV/cell.

The structure belongs to space group F-43m (No. 216); the cell edges are 6.351, 6.351 and 6.351 Å and the angles 90.00°, 90.00° and 90.00°. Symmetry generates all atoms from Ti at (0.000, 0.000, 0.000), Cd at (0.000, 0.000, 0.500), Ru at (0.250, 0.250, 0.250) and Pt at (0.250, 0.250, 0.750).

The following is a DFT calculation (PBE-GGA) of crystalline Li2CuAu6 at its relaxed geometry.

The calculation puts the formation energy at -294 meV/atom. Its density of states at the Fermi level is 3.83 states/eV/cell. Its polymorph energy (0 for the lowest one) is 0 meV/atom.

The structure belongs to space group P4_2/mnm (No. 136); the cell edges are 8.302, 8.302 and 4.262 Å and the angles 90.00°, 90.00° and 90.00°. Symmetry generates all atoms from Li at (0.190, 0.190, 0.000), Cu at (0.000, 0.000, 0.500), Au at (0.017, 0.324, 0.500) and Au at (0.135, 0.865, 0.000).